Density functional theory data (PBE-GGA) for AlZnGa2 after structural relaxation.

The structure belongs to space group R3m (No. 160, hexagonal axes); the cell edges are 4.1259, 4.1259 and 15.3793 Å and the angles 90.00°, 90.00° and 120.00°. The distinct sites, in fractional coordinates, are Al at (0.0000, 0.0000, 0.0000), Zn at (0.0000, 0.0000, 0.1779), Ga at (0.0000, 0.0000, 0.5867) and Ga at (0.0000, 0.0000, 0.7646).

The value obtained for the raw total energy is -32.07 eV/cell. The formation energy is 0.0950 eV per atom.